First-principles (PBEsol) data for a relaxed structure of CsYAl2In, as listed in Alexandria.

The crystal system is tetragonal. The value obtained for the formation energy is 586 meV/atom. As for the total DFT energy (no corrections): -16.00 eV for the cell shown. For the density of states at the Fermi level, the calculation gives 0.795 states/eV/atom.

```
CsYAl2In
1.0
5.3707 0.0000 0.0000
0.0000 5.3707 0.0000
0.0000 0.0000 5.7848
Cs Y Al In
1 1 2 1
direct
0.0000 0.0000 0.0000 Cs
0.5000 0.5000 0.0000 Y
0.0000 0.5000 0.5000 Al
0.5000 0.0000 0.5000 Al
0.5000 0.5000 0.5000 In
```